## HfTa2TiN (PBE)

Data for a geometry-optimized HfTa2TiN structure.

The calculation puts the uncorrected energy at -10.555 eV per atom. The calculation puts the raw formation energy at -0.5790 eV per atom. The value obtained for the excess energy over the best structure of this formula in the dataset is 0.0000 eV/atom.

It has space group P4/mmm (No. 123), with a = 4.390 Å, b = 4.390 Å, c = 4.127 Å, α = 90.00°, β = 90.00° and γ = 90.00°. The distinct sites, in fractional coordinates, are Hf at (0.000, 0.000, 0.000), Ta at (0.000, 0.500, 0.500), Ti at (0.500, 0.500, 0.000) and N at (0.500, 0.500, 0.500).


## Hf3TaTi2N6 (PBE)

Data for a geometry-optimized Hf3TaTi2N6 structure.

The calculation puts the uncorrected energy at -10.561 eV per atom. The calculation puts the raw formation energy at -1.6060 eV per atom.

It has space group C2/m (No. 12), with a = 5.436 Å, b = 9.418 Å, c = 5.417 Å, α = 90.00°, β = 109.71° and γ = 90.00°. The distinct sites, in fractional coordinates, are Hf at (0.000, 0.000, 0.000), Hf at (0.000, 0.332, 0.000), Ta at (0.000, 0.500, 0.500), Ti at (0.000, 0.166, 0.500), N at (0.245, 0.000, 0.745) and N at (0.249, 0.332, 0.743).


## Hf2TaTi3N6 (PBE)

Data for a geometry-optimized Hf2TaTi3N6 structure.

The calculation puts the uncorrected energy at -10.375 eV per atom. The calculation puts the raw formation energy at -1.5924 eV per atom.

It has space group C2/m (No. 12), with a = 5.379 Å, b = 9.327 Å, c = 5.359 Å, α = 90.00°, β = 109.68° and γ = 90.00°. The distinct sites, in fractional coordinates, are Hf at (0.000, 0.166, 0.000), Ta at (0.000, 0.500, 0.000), Ti at (0.000, 0.000, 0.500), Ti at (0.000, 0.336, 0.500), N at (0.246, 0.500, 0.741) and N at (0.248, 0.166, 0.743).


## HfTa2TiN (PBE)

Data for a geometry-optimized HfTa2TiN structure.

The calculation puts the uncorrected energy at -10.531 eV per atom. The calculation puts the raw formation energy at -0.5553 eV per atom. The value obtained for the excess energy over the best structure of this formula in the dataset is 0.0236 eV/atom.

It has space group P4/mmm (No. 123), with a = 4.255 Å, b = 4.255 Å, c = 4.493 Å, α = 90.00°, β = 90.00° and γ = 90.00°. The distinct sites, in fractional coordinates, are Hf at (0.000, 0.000, 0.000), Ta at (0.000, 0.500, 0.500), Ti at (0.500, 0.500, 0.000) and N at (0.000, 0.000, 0.500).


## Hf2TaTiN (PBE)

Data for a geometry-optimized Hf2TaTiN structure.

The calculation puts the uncorrected energy at -10.295 eV per atom. The calculation puts the raw formation energy at -0.6992 eV per atom. The value obtained for the excess energy over the best structure of this formula in the dataset is 0.0000 eV/atom.

It has space group P4/mmm (No. 123), with a = 4.483 Å, b = 4.483 Å, c = 4.129 Å, α = 90.00°, β = 90.00° and γ = 90.00°. The distinct sites, in fractional coordinates, are Hf at (0.000, 0.500, 0.000), Ta at (0.000, 0.000, 0.500), Ti at (0.500, 0.500, 0.500) and N at (0.500, 0.500, 0.000).


## Hf2TaTiN (PBE)

Data for a geometry-optimized Hf2TaTiN structure.

The calculation puts the uncorrected energy at -10.226 eV per atom. The calculation puts the raw formation energy at -0.6296 eV per atom. The value obtained for the excess energy over the best structure of this formula in the dataset is 0.0696 eV/atom.

It has space group P4/mmm (No. 123), with a = 4.448 Å, b = 4.448 Å, c = 4.275 Å, α = 90.00°, β = 90.00° and γ = 90.00°. The distinct sites, in fractional coordinates, are Hf at (0.000, 0.500, 0.000), Ta at (0.000, 0.000, 0.500), Ti at (0.500, 0.500, 0.500) and N at (0.000, 0.000, 0.000).


## HfTa3Ti4N8 (PBE)

Data for a geometry-optimized HfTa3Ti4N8 structure.

The calculation puts the uncorrected energy at -10.413 eV per atom. The calculation puts the raw formation energy at -1.4324 eV per atom.

It has space group R-3m (No. 166, hexagonal axes), with a = 6.1658 Å, b = 6.1658 Å, c = 15.0849 Å, α = 90.00°, β = 90.00° and γ = 120.00°. The distinct sites, in fractional coordinates, are Hf at (0.0000, 0.0000, 0.0000), Ta at (0.0000, 0.5000, 0.0000), Ti at (0.0000, 0.0000, 0.5000), Ti at (0.0000, 0.5000, 0.5000), N at (0.0000, 0.0000, 0.2478) and N at (0.0023, 0.5011, 0.2475).


## HfTaTi2N4 (PBE)

Data for a geometry-optimized HfTaTi2N4 structure.

The calculation puts the uncorrected energy at -10.388 eV per atom. The calculation puts the raw formation energy at -1.5262 eV per atom.

It has space group P2/m (No. 10), with a = 5.350 Å, b = 3.092 Å, c = 5.372 Å, α = 90.00°, β = 109.64° and γ = 90.00°. The distinct sites, in fractional coordinates, are Hf at (0.000, 0.000, 0.000), Ta at (0.000, 0.500, 0.500), Ti at (0.500, 0.000, 0.500), Ti at (0.500, 0.500, 0.000), N at (0.258, 0.000, 0.750) and N at (0.258, 0.500, 0.255).